[1]
The following is a DFT calculation (PBE-GGA) of a relaxed structure of CaScCuPt.

It has space group F-43m (No. 216), with a = 6.770 Å, b = 6.770 Å, c = 6.770 Å, α = 90.00°, β = 90.00° and γ = 90.00°. The asymmetric unit holds Ca at (0.000, 0.000, 0.000), Sc at (0.000, 0.000, 0.500), Cu at (0.250, 0.250, 0.250) and Pt at (0.250, 0.250, 0.750).

The crystal system is cubic. The value obtained for the total moment is 0.0 Bohr magnetons per cell. The calculation puts the calculated density at 7.4 g/cm3.

***

[2]
The following is a DFT calculation (PBE-GGA) of a relaxed structure of CaCuSi2Pt.

It has space group P4/mmm (No. 123), with a = 4.385 Å, b = 4.385 Å, c = 5.159 Å, α = 90.00°, β = 90.00° and γ = 90.00°. The asymmetric unit holds Ca at (0.000, 0.000, 0.000), Cu at (0.000, 0.000, 0.500), Si at (0.000, 0.500, 0.500) and Pt at (0.500, 0.500, 0.000).

The crystal system is tetragonal. For the energy relative to the elements, uncorrected, the calculation gives 0.27 eV/atom. The value obtained for the total moment is 0.0 Bohr magnetons per cell. The calculation puts the calculated density at 5.9 g/cm3.

***

[3]
The following is a DFT calculation (PBE-GGA) of a relaxed structure of CaCuSi2Pt5.

It has space group P4/mmm (No. 123), with a = 4.057 Å, b = 4.057 Å, c = 10.335 Å, α = 90.00°, β = 90.00° and γ = 90.00°. The asymmetric unit holds Ca at (0.000, 0.000, 0.000), Cu at (0.000, 0.000, 0.500), Si at (0.500, 0.500, 0.227), Pt at (0.000, 0.500, 0.345) and Pt at (0.500, 0.500, 0.000).

The crystal system is tetragonal. For the energy relative to the elements, uncorrected, the calculation gives -0.58 eV/atom. The value obtained for the total moment is 0.0 Bohr magnetons per cell. The calculation puts the calculated density at 11.1 g/cm3.

***

[4]
The following is a DFT calculation (PBE-GGA) of a relaxed structure of Ca2CuSi2Pt5.

It has space group P4/mbm (No. 127), with a = 9.949 Å, b = 9.949 Å, c = 3.422 Å, α = 90.00°, β = 90.00° and γ = 90.00°. The asymmetric unit holds Ca at (0.174, 0.326, 0.000), Cu at (0.000, 0.000, 0.000), Si at (0.129, 0.629, 0.000), Pt at (0.000, 0.500, 0.500) and Pt at (0.062, 0.796, 0.500).

The crystal system is tetragonal. For the energy relative to the elements, uncorrected, the calculation gives -0.74 eV/atom. The value obtained for the total moment is 0.0 Bohr magnetons per cell. The calculation puts the calculated density at 11.5 g/cm3.

***

[5]
The following is a DFT calculation (PBE-GGA) of a relaxed structure of CaCuSi2Pt.

It has space group P4/mmm (No. 123), with a = 4.677 Å, b = 4.677 Å, c = 4.869 Å, α = 90.00°, β = 90.00° and γ = 90.00°. The asymmetric unit holds Ca at (0.000, 0.000, 0.000), Cu at (0.500, 0.500, 0.000), Si at (0.000, 0.500, 0.500) and Pt at (0.500, 0.500, 0.500).

The crystal system is tetragonal. For the energy relative to the elements, uncorrected, the calculation gives -0.01 eV/atom. The value obtained for the total moment is 0.0 Bohr magnetons per cell. The calculation puts the calculated density at 5.5 g/cm3.

***

[6]
The following is a DFT calculation (PBE-GGA) of a relaxed structure of CaCuSi2Pt.

It has space group I-4m2 (No. 119), with a = 4.149 Å, b = 4.149 Å, c = 9.933 Å, α = 90.00°, β = 90.00° and γ = 90.00°. The asymmetric unit holds Ca at (0.000, 0.000, 0.000), Cu at (0.000, 0.500, 0.250), Si at (0.000, 0.000, 0.379) and Pt at (0.000, 0.500, 0.750).

The crystal system is tetragonal. For the energy relative to the elements, uncorrected, the calculation gives -0.67 eV/atom. The value obtained for the total moment is 0.0 Bohr magnetons per cell. The calculation puts the calculated density at 6.9 g/cm3.

***

Energy: -5.200, -4.324, -5.823, -5.659, -4.605, -5.272 (eV per atom)